Entry 1:
Here is Mn2VMoN after structural relaxation from Alexandria. Energies are from PBE.

Cell: 3.7689 3.7689 4.1327 Å, 90.00 90.00 90.00°
With the nearest neighbours (Å) after each atom.
Space group P4/mmm (No. 123)
One atom of each set of equivalent atoms:
Mn 0.0000 0.5000 0.0000 (multiplicity 2)  2 N 1.88
V 0.0000 0.0000 0.5000 (multiplicity 1)  4 Mo 2.67, 8 Mn 2.80
Mo 0.5000 0.5000 0.5000 (multiplicity 1)  2 N 2.07
N 0.5000 0.5000 0.0000 (multiplicity 1)  4 Mn 1.88, 2 Mo 2.07

Properties
DOS(E_F) in states/eV per cell: 5.1
Total energy in eV per atom: -9.498


Entry 2:
Here is Mn2MoWN after structural relaxation from Alexandria. Energies are from PBE.

Cell: 3.8360 3.8360 4.0727 Å, 90.00 90.00 90.00°
With the nearest neighbours (Å) after each atom.
Space group P4/mmm (No. 123)
One atom of each set of equivalent atoms:
Mn 0.0000 0.5000 0.0000 (multiplicity 2)  2 N 1.92
Mo 0.0000 0.0000 0.5000 (multiplicity 1)  4 W 2.71, 8 Mn 2.80
W 0.5000 0.5000 0.5000 (multiplicity 1)  2 N 2.04
N 0.5000 0.5000 0.0000 (multiplicity 1)  4 Mn 1.92, 2 W 2.04

Properties
DOS(E_F) in states/eV per cell: 4.0
Total energy in eV per atom: -10.146
Offset from the most stable computed form in eV/atom: 0.008